# Sm7Y4In, optimized geometry, DFT PBE
# electronic total energy: -0.18343 Ha/atom
# energy of formation from the pure elements: 144 meV/atom
# calculated density: 6.14 g/cm³
data_Sm7Y4In
_chemical_formula_sum 'Sm7 Y4 In1'
_cell_length_a 8.9116
_cell_length_b 8.9116
_cell_length_c 9.9059
_cell_angle_alpha 121.64
_cell_angle_beta 121.64
_cell_angle_gamma 39.10
_space_group_name_H-M_alt 'P 1'
_space_group_IT_number 1
_space_group_name_Hall 'P 1'
loop_
_atom_site_label
_atom_site_type_symbol
_atom_site_fract_x
_atom_site_fract_y
_atom_site_fract_z
_atom_site_occupancy
Sm1 Sm 0.0000 0.0000 0.0000 1
Sm2 Sm 0.2029 0.2029 0.8809 1
Sm3 Sm 0.3188 0.3188 0.6637 1
Sm4 Sm 0.4554 0.4554 0.2677 1
Sm5 Sm 0.5446 0.5446 0.7323 1
Sm6 Sm 0.6812 0.6812 0.3363 1
Sm7 Sm 0.7971 0.7971 0.1191 1
Y1 Y 0.0858 0.0858 0.4485 1
Y2 Y 0.2709 0.2709 0.2971 1
Y3 Y 0.7291 0.7291 0.7029 1
Y4 Y 0.9142 0.9142 0.5515 1
In1 In 0.5000 0.5000 0.0000 1